Below is a relaxed structure of Tl3Hg4Pb, with properties calculated at the PBE-GGA level.

a b c (Å): 3.529 3.529 18.396
angles (deg): 90.00 90.00 90.00
Fractional positions:
Hg (0.000, 0.000, 0.877)
Tl (0.500, 0.500, 0.245)
Pb (0.500, 0.500, 0.000)
Tl (0.500, 0.500, 0.755)
Hg (0.000, 0.000, 0.626)
Tl (0.500, 0.500, 0.500)
Hg (0.000, 0.000, 0.123)
Hg (0.000, 0.000, 0.374)

Results
The calculation puts the energy above the most stable polymorph in this dataset at 0.000 eV per atom. Its magnetic moment is 0.000 μB per cell. The symmetry is No. 123.